{
  "formula": "Eu2TePb",
  "functional": "GGA-PBE",
  "state": "relaxed",
  "lattice": [[-0.148, -3.542, -1.604], [1.819, 1.356, -3.161], [7.504, -1.901, 3.504]],
  "species": ["Eu", "Eu", "Pb", "Te"],
  "fractional_positions": [[0.000, 0.000, 0.232], [0.000, 0.000, 0.768], [0.500, 0.500, 0.500], [0.500, 0.500, 0.000]],
  "mass_density_g_cm3": 8.244,
  "final_energy_ev_per_cell": -31.21,
  "e_form_raw_ev_per_atom": -0.954,
  "magnetic_moment_mub_per_atom": 3.466
}